Record 1
A relaxed structure of Sr6MgGa2, computed with PBE.

Unit cell a=9.827 b=9.827 c=9.827 alpha=104.76 beta=111.00 gamma=112.76
Atoms (fractional coordinates):
Ga1 0.500 0.608 0.108
Ga2 0.500 0.392 0.892
Ga3 0.679 0.000 0.679
Ga4 0.321 0.000 0.321
Sr1 0.806 0.245 0.051
Sr2 0.679 0.013 0.334
Sr3 0.321 0.655 0.334
Sr4 0.194 0.245 0.440
Sr5 0.098 0.279 0.818
Sr6 0.902 0.721 0.182
Sr7 0.679 0.345 0.666
Sr8 0.461 0.279 0.182
Sr9 0.321 0.987 0.666
Sr10 0.806 0.755 0.560
Sr11 0.539 0.721 0.818
Sr12 0.194 0.755 0.949
Mg1 0.000 0.500 0.500
Mg2 0.000 0.000 0.000

Mass density, Mg/m³: 3.15
Formation enthalpy at 0 K, eV/atom: -0.18

=====

Record 2
A relaxed structure of HoTh2Zr, computed with PBE.

Unit cell a=3.494 b=3.494 c=11.302 alpha=81.11 beta=81.11 gamma=60.00
Atoms (fractional coordinates):
Th1 0.747 0.747 0.759
Th2 0.253 0.253 0.241
Ho1 0.500 0.500 0.500
Zr1 0.000 0.000 0.000

Mass density, Mg/m³: 10.17
Relative energy among the computed polymorphs, eV/atom: 0.0197
Formation enthalpy at 0 K, eV/atom: 0.11

=====

Record 3
A relaxed structure of KSiAs2Br, computed with PBE.

Unit cell a=6.152 b=6.152 c=5.736 alpha=90.00 beta=90.00 gamma=90.00
Last column: magnetic moment on the atom in μB.
Atoms (fractional coordinates):
K1 0.000 0.000 0.000  0.07
Br1 0.000 0.000 0.500  0.17
As1 0.500 0.000 0.000  1.04
As2 0.000 0.500 0.000  1.04
Si1 0.500 0.500 0.500  -0.32

Mass density, Mg/m³: 2.27
Relative energy among the computed polymorphs, eV/atom: 1.4328
Energy relative to the elements, uncorrected, meV/atom: 1368

=====

Record 4
A relaxed structure of Er2InF, computed with PBE.

Unit cell a=4.777 b=4.777 c=7.432 alpha=71.26 beta=71.26 gamma=60.00
Atoms (fractional coordinates):
In1 0.500 0.500 0.500
Er1 0.896 0.896 0.311
Er2 0.104 0.104 0.689
F1 0.000 0.000 0.000

Mass density, Mg/m³: 5.70
Energy relative to the elements, uncorrected, meV/atom: -1290